6
Lattice="0.0000 4.7863 4.7863 4.7863 0.0000 4.7863 4.7863 4.7863 0.0000" Properties=species:S:1:pos:R:3 comment="CaGd2 | Alexandria via LeMat-Bulk | GGA-PBE | relaxed" e_form_mev_per_atom=168 density_g_cm3=5.37 sg="Fd-3m, No. 227" magnetic_moment_mub_per_fu=14.898 e_above_lowest_polymorph_mev_per_atom=106 pbc="T T T"
Ca 1.1966 1.1966 1.1966
Ca 8.3760 8.3760 8.3760
Gd 4.7863 2.3931 2.3931
Gd 2.3931 4.7863 2.3931
Gd 2.3931 2.3931 4.7863
Gd 4.7863 4.7863 4.7863